Density functional theory data (PBEsol) for an optimized crystal structure of Si3W2O12.

a = 10.2863 Å, b = 10.2863 Å, c = 10.2863 Å
α = 109.47°, β = 109.47°, γ = 109.47°
With the nearest neighbours (Å) after each atom.
Sites, in units of the cell vectors:
1 Si 0.1250 0.7500 0.8750  4 O 1.64
2 Si 0.1250 0.8750 0.2500  4 O 1.64
3 Si 0.2500 0.1250 0.8750  4 O 1.64
4 Si 0.2500 0.6250 0.3750  4 O 1.64
5 Si 0.3750 0.2500 0.6250  4 O 1.64
6 Si 0.3750 0.6250 0.7500  4 O 1.64
7 Si 0.6250 0.3750 0.2500  4 O 1.64
8 Si 0.6250 0.7500 0.3750  4 O 1.64
9 Si 0.7500 0.3750 0.6250  4 O 1.64
10 Si 0.7500 0.8750 0.1250  4 O 1.64
11 Si 0.8750 0.1250 0.7500  4 O 1.64
12 Si 0.8750 0.2500 0.1250  4 O 1.64
13 W 0.0000 0.0000 0.0000  6 O 1.91
14 W 0.0000 0.0000 0.5000  6 O 1.91
15 W 0.0000 0.5000 0.0000  6 O 1.91
16 W 0.0000 0.5000 0.5000  6 O 1.91
17 W 0.5000 0.0000 0.0000  6 O 1.91
18 W 0.5000 0.0000 0.5000  6 O 1.91
19 W 0.5000 0.5000 0.0000  6 O 1.91
20 W 0.5000 0.5000 0.5000  6 O 1.91
21 O 0.0023 0.1928 0.1086  1 Si 1.64
22 O 0.0023 0.3095 0.8938  1 Si 1.64
23 O 0.0842 0.6928 0.6905  1 Si 1.64
24 O 0.0842 0.8914 0.3938  1 Si 1.64
25 O 0.1062 0.6086 0.4158  1 Si 1.64
26 O 0.1062 0.9977 0.6905  1 Si 1.64
27 O 0.1086 0.0023 0.1928  1 Si 1.64
28 O 0.1086 0.6062 0.9158  1 Si 1.64
29 O 0.1905 0.1928 0.5842  1 Si 1.64
30 O 0.1905 0.4977 0.6062  1 Si 1.64
31 O 0.1928 0.1086 0.0023  1 Si 1.64
32 O 0.1928 0.5842 0.1905  1 Si 1.64
33 O 0.3072 0.3095 0.9158  1 Si 1.64
34 O 0.3072 0.4977 0.3914  1 Si 1.64
35 O 0.3095 0.8938 0.0023  1 Si 1.64
36 O 0.3095 0.9158 0.3072  1 Si 1.64
37 O 0.3914 0.3072 0.4977  1 Si 1.64
38 O 0.3914 0.5842 0.8938  1 Si 1.64
39 O 0.3938 0.0842 0.8914  1 Si 1.64
40 O 0.3938 0.8095 0.5023  1 Si 1.64
41 O 0.4158 0.1062 0.6086  1 Si 1.64
42 O 0.4158 0.8095 0.8072  1 Si 1.64
43 O 0.4977 0.3914 0.3072  1 Si 1.64
44 O 0.4977 0.6062 0.1905  1 Si 1.64
45 O 0.5023 0.3938 0.8095  1 Si 1.64
46 O 0.5023 0.6086 0.6928  1 Si 1.64
47 O 0.5842 0.1905 0.1928  1 Si 1.64
48 O 0.5842 0.8938 0.3914  1 Si 1.64
49 O 0.6062 0.1905 0.4977  1 Si 1.64
50 O 0.6062 0.9158 0.1086  1 Si 1.64
51 O 0.6086 0.4158 0.1062  1 Si 1.64
52 O 0.6086 0.6928 0.5023  1 Si 1.64
53 O 0.6905 0.0842 0.6928  1 Si 1.64
54 O 0.6905 0.1062 0.9977  1 Si 1.64
55 O 0.6928 0.5023 0.6086  1 Si 1.64
56 O 0.6928 0.6905 0.0842  1 Si 1.64
57 O 0.8072 0.4158 0.8095  1 Si 1.64
58 O 0.8072 0.8914 0.9977  1 Si 1.64
59 O 0.8095 0.5023 0.3938  1 Si 1.64
60 O 0.8095 0.8072 0.4158  1 Si 1.64
61 O 0.8914 0.3938 0.0842  1 Si 1.64
62 O 0.8914 0.9977 0.8072  1 Si 1.64
63 O 0.8938 0.0023 0.3095  1 Si 1.64
64 O 0.8938 0.3914 0.5842  1 Si 1.64
65 O 0.9158 0.1086 0.6062  1 Si 1.64
66 O 0.9158 0.3072 0.3095  1 Si 1.64
67 O 0.9977 0.6905 0.1062  1 Si 1.64
68 O 0.9977 0.8072 0.8914  1 Si 1.64

Results
SG = No. 230
Uncorrected formation energy = -2.35 eV per atom

---

Density functional theory data (PBEsol) for an optimized crystal structure of CeY4Si4.

a = 7.3676 Å, b = 7.6626 Å, c = 14.5111 Å
α = 90.00°, β = 90.00°, γ = 90.00°
With the nearest neighbours (Å) after each atom.
Sites, in units of the cell vectors:
1 Ce 0.2242 0.1820 0.3476  6 Si 3.01-3.13
2 Ce 0.2758 0.8180 0.8476  6 Si 3.01-3.13
3 Ce 0.7242 0.3180 0.6524  6 Si 3.01-3.13
4 Ce 0.7758 0.6820 0.1524  6 Si 3.01-3.13
5 Y 0.0694 0.6792 0.6271  6 Si 2.83-3.00
6 Y 0.0700 0.6802 0.3724  6 Si 2.85-3.00
7 Y 0.0985 0.5136 0.9998  5 Si 2.90-3.07
8 Y 0.2247 0.1816 0.6510  6 Si 3.02-3.13
9 Y 0.2753 0.8184 0.1510  6 Si 3.02-3.13
10 Y 0.4015 0.4864 0.4998  5 Si 2.90-3.07
11 Y 0.4300 0.3198 0.8724  6 Si 2.85-3.00
12 Y 0.4306 0.3208 0.1271  6 Si 2.83-3.00
13 Y 0.5694 0.8208 0.3729  6 Si 2.83-3.00
14 Y 0.5700 0.8198 0.6276  6 Si 2.85-3.00
15 Y 0.5985 0.9864 0.0002  5 Si 2.90-3.07
16 Y 0.7247 0.3184 0.3490  6 Si 3.02-3.13
17 Y 0.7753 0.6816 0.8490  6 Si 3.02-3.13
18 Y 0.9015 0.0136 0.5002  5 Si 2.90-3.07
19 Y 0.9300 0.1802 0.1276  6 Si 2.85-3.00
20 Y 0.9306 0.1792 0.8729  6 Si 2.83-3.00
21 Si 0.0174 0.3749 0.4992  1 Si 2.51
22 Si 0.1006 0.4707 0.7895  1 Si 2.50
23 Si 0.1039 0.4741 0.2095  1 Si 2.50
24 Si 0.2252 0.1046 0.9995  1 Si 2.51
25 Si 0.2748 0.8954 0.4995  1 Si 2.51
26 Si 0.3961 0.5259 0.7095  1 Si 2.50
27 Si 0.3994 0.5293 0.2895  1 Si 2.50
28 Si 0.4826 0.6251 0.9992  1 Si 2.51
29 Si 0.5174 0.1251 0.5008  1 Si 2.51
30 Si 0.6006 0.0293 0.2105  1 Si 2.50
31 Si 0.6039 0.0259 0.7905  1 Si 2.50
32 Si 0.7252 0.3954 0.0005  1 Si 2.51
33 Si 0.7748 0.6046 0.5005  1 Si 2.51
34 Si 0.8961 0.9741 0.2905  1 Si 2.50
35 Si 0.8994 0.9707 0.7105  1 Si 2.50
36 Si 0.9826 0.8749 0.0008  1 Si 2.51

Results
SG = No. 19
Uncorrected formation energy = -0.78 eV per atom

---

Density functional theory data (PBEsol) for an optimized crystal structure of Fe2RePb.

a = 4.8186 Å, b = 4.8186 Å, c = 4.8186 Å
α = 132.80°, β = 132.80°, γ = 68.98°
With the nearest neighbours (Å) after each atom.
Sites, in units of the cell vectors:
1 Fe 0.0000 0.0000 0.0000  4 Pb 2.73, 4 Re 2.77, 4 Fe 2.77
2 Fe 0.7500 0.2500 0.5000  4 Re 2.73, 4 Pb 2.77, 4 Fe 2.77
3 Re 0.2500 0.7500 0.5000  8 Fe 2.73-2.77, 4 Pb 2.77
4 Pb 0.5000 0.5000 0.0000  8 Fe 2.73-2.77, 4 Re 2.77

Results
Energy relative to the elements = 0.72 eV per atom
SG = No. 119

---

Density functional theory data (PBEsol) for an optimized crystal structure of Hf3CdAu.

a = 5.0510 Å, b = 5.0510 Å, c = 5.0510 Å
α = 90.00°, β = 90.00°, γ = 90.00°
With the nearest neighbours (Å) after each atom.
Sites, in units of the cell vectors:
1 Hf 0.0000 0.0000 0.5000  2 Au 2.53
2 Hf 0.0000 0.5000 0.0000  2 Au 2.53
3 Hf 0.5000 0.0000 0.0000  2 Au 2.53
4 Cd 0.5000 0.5000 0.5000  12 Hf 3.57
5 Au 0.0000 0.0000 0.0000  6 Hf 2.53

Results
Energy relative to the elements = 0.66 eV per atom
SG = No. 221

---

Density functional theory data (PBEsol) for an optimized crystal structure of Tm3Cu4Sn4.

a = 8.1797 Å, b = 8.1797 Å, c = 6.8238 Å
α = 113.43°, β = 113.43°, γ = 30.87°
With the nearest neighbours (Å) after each atom.
Sites, in units of the cell vectors:
1 Tm 0.0000 0.0000 0.0000  6 Sn 2.98-3.13, 4 Cu 3.31
2 Tm 0.1294 0.1294 0.6487  6 Cu 2.97-3.32, 6 Sn 3.09-3.23
3 Tm 0.8706 0.8706 0.3513  6 Cu 2.97-3.32, 6 Sn 3.09-3.23
4 Cu 0.3109 0.3109 0.6146  4 Sn 2.59-2.67, 3 Cu 2.60-2.90
5 Cu 0.3463 0.3463 0.0221  4 Sn 2.56-2.72, 1 Cu 2.60
6 Cu 0.6537 0.6537 0.9779  4 Sn 2.56-2.72, 1 Cu 2.60
7 Cu 0.6891 0.6891 0.3854  4 Sn 2.59-2.67, 3 Cu 2.60-2.90
8 Sn 0.2179 0.2179 0.1934  6 Cu 2.59-2.72
9 Sn 0.4859 0.4859 0.6901  2 Cu 2.56-2.59, 1 Sn 2.81
10 Sn 0.5141 0.5141 0.3099  2 Cu 2.56-2.59, 1 Sn 2.81
11 Sn 0.7821 0.7821 0.8066  6 Cu 2.59-2.72

Results
Energy relative to the elements = -0.52 eV per atom
SG = No. 12

---

Density functional theory data (PBEsol) for an optimized crystal structure of YCdAg2.

a = 4.8422 Å, b = 4.8422 Å, c = 4.8422 Å
α = 60.00°, β = 60.00°, γ = 60.00°
With the nearest neighbours (Å) after each atom.
Sites, in units of the cell vectors:
1 Y 0.0000 0.0000 0.0000  4 Ag 2.97, 4 Cd 2.97
2 Cd 0.2500 0.2500 0.2500  4 Ag 2.97, 4 Y 2.97
3 Ag 0.5000 0.5000 0.5000  4 Ag 2.97, 4 Cd 2.97
4 Ag 0.7500 0.7500 0.7500  4 Ag 2.97, 4 Y 2.97

Results
Energy relative to the elements = -0.24 eV per atom
SG = No. 216

---

| no. | calculated volume (Å³ per atom) | total magnetic moment (μB/atom) |
| --- | --- | --- |
| 1 | 12.3 | 0.00 |
| 2 | 22.8 | 0.14 |
| 3 | 14.8 | 1.29 |
| 4 | 25.8 | 0.00 |
| 5 | 19.4 | 0.00 |
| 6 | 20.1 | 0.00 |